The following is a DFT calculation (PBE) of a relaxed structure of SiPt3.

Energy relative to the elements, uncorrected: -51.3 kJ/mol of atoms
N(E_F): 1.2 states/eV per cell
SG: C2/m, No. 12
Mass density: 16.8 g/cm3

a b c (Å): 5.535 5.535 5.434
angles (deg): 118.67 118.67 91.02
Fractional positions:
Si1 0.215 0.215 0.427
Si2 0.785 0.785 0.573
Pt1 0.216 0.216 0.864
Pt2 0.226 0.774 0.000
Pt3 0.315 0.685 0.500
Pt4 0.685 0.315 0.500
Pt5 0.774 0.226 0.000
Pt6 0.784 0.784 0.136


The following is a DFT calculation (PBE) of a relaxed structure of TaCuBr2.

Energy relative to the elements, uncorrected: 2.6 kJ/mol of atoms
N(E_F): 1.3 states/eV per cell
Energy above the lowest structure with this stoichiometry: 0.65 eV/f.u.
SG: Cmm2, No. 35
Mass density: 7.6 g/cm3

a b c (Å): 3.280 3.280 8.263
angles (deg): 90.00 90.00 95.60
Fractional positions:
Ta1 0.000 0.000 0.000
Cu1 0.500 0.500 0.827
Br1 0.000 0.000 0.663
Br2 0.500 0.500 0.219


The following is a DFT calculation (PBE) of a relaxed structure of ZnFe7.

Calculated formation energy: 33 meV/atom
N(E_F): 7.8 states/eV per cell
SG: I4/mmm, No. 139
Mass density: 8.0 g/cm3

a b c (Å): 6.419 6.419 6.419
angles (deg): 143.18 143.18 53.06
Fractional positions:
Zn1 0.000 0.000 0.000
Fe1 0.128 0.628 0.500
Fe2 0.250 0.250 0.000
Fe3 0.372 0.872 0.500
Fe4 0.500 0.500 0.000
Fe5 0.628 0.128 0.500
Fe6 0.750 0.750 0.000
Fe7 0.872 0.372 0.500


The following is a DFT calculation (PBE) of a relaxed structure of RePt2Se.

Energy relative to the elements, uncorrected: 20.7 kJ/mol of atoms
N(E_F): 2.3 states/eV per cell
SG: Imm2, No. 44
Mass density: 15.1 g/cm3

a b c (Å): 6.529 6.529 6.529
angles (deg): 154.98 142.19 45.87
Fractional positions:
Re1 0.000 0.000 0.000
Pt1 0.209 0.709 0.500
Pt2 0.568 0.568 0.000
Se1 0.833 0.333 0.500


The following is a DFT calculation (PBE) of a relaxed structure of Tb3Nd4Ho3.

Calculated formation energy: 102 meV/atom
N(E_F): 8.9 states/eV per cell
SG: Amm2, No. 38
Mass density: 7.7 g/cm3

a b c (Å): 3.821 9.339 9.339
angles (deg): 90.08 90.00 90.00
Fractional positions:
Tb1 0.000 0.000 0.000
Tb2 0.500 0.169 0.667
Tb3 0.500 0.667 0.169
Nd1 0.500 0.038 0.300
Nd2 0.500 0.300 0.038
Nd3 0.500 0.538 0.538
Nd4 0.500 0.799 0.799
Ho1 0.000 0.337 0.337
Ho2 0.000 0.500 0.837
Ho3 0.000 0.837 0.500


The following is a DFT calculation (PBE) of a relaxed structure of PuAlCuSi2.

Energy relative to the elements, uncorrected: -35.7 kJ/mol of atoms
N(E_F): 10.4 states/eV per cell
SG: I-4m2, No. 119
Mass density: 7.7 g/cm3

a b c (Å): 6.072 6.072 6.072
angles (deg): 142.10 142.10 54.68
Fractional positions:
Pu1 0.000 0.000 0.000
Al1 0.750 0.250 0.500
Cu1 0.250 0.750 0.500
Si1 0.390 0.390 0.000
Si2 0.610 0.610 0.000